# 1
Entry from Alexandria via LeMat-Bulk: crystalline LaIr2Rh at its relaxed geometry (PBE-GGA).

* ρ: 14.0 g/cm3
* crystal system: monoclinic
* E above lowest polymorph: 130 meV per atom
* uncorrected energy: -7.59 eV per atom
* energy of formation: -0.092 eV/atom

a b c (Å): 4.9208 4.9208 5.3891
angles (deg): 79.82 79.82 35.45
Closest atoms and distances in Å follow each position.
Sites, in units of the cell vectors:
Rh  0.2600  0.2600  0.2150  4 Ir 2.60-2.85, 1 La 2.89
Ir  0.7390  0.7390  0.8292  2 Rh 2.60, 3 Ir 2.66-2.71
Ir  0.0031  0.0031  0.9666  3 Ir 2.66-2.71, 3 Rh 2.85-2.96
La  0.4978  0.4978  0.4891  3 Rh 2.89-3.02, 7 Ir 2.99-3.18, 2 La 3.00

***

# 2
Entry from Alexandria via LeMat-Bulk: crystalline LaIr2Rh at its relaxed geometry (PBE-GGA).

* ρ: 14.5 g/cm3
* crystal system: tetragonal
* E above lowest polymorph: 0 meV per atom
* uncorrected energy: -7.72 eV per atom
* energy of formation: -0.222 eV/atom

a b c (Å): 4.1014 4.1014 4.2492
angles (deg): 90.00 90.00 90.00
Closest atoms and distances in Å follow each position.
Sites, in units of the cell vectors:
La  0.5000  0.5000  0.5000  4 Rh 2.90, 8 Ir 2.95
Rh  0.0000  0.0000  0.5000  4 La 2.90, 8 Ir 2.95
Ir  0.0000  0.5000  0.0000  4 Ir 2.90, 4 La 2.95, 4 Rh 2.95
Ir  0.5000  0.0000  0.0000  4 Ir 2.90, 4 La 2.95, 4 Rh 2.95

***

# 3
Entry from Alexandria via LeMat-Bulk: crystalline La8Ir3Rh2 at its relaxed geometry (PBE-GGA).

* ρ: 7.8 g/cm3
* crystal system: monoclinic
* uncorrected energy: -6.86 eV per atom
* energy of formation: -0.650 eV/atom

a b c (Å): 7.1614 7.8760 7.8760
angles (deg): 65.45 90.23 90.23
Closest atoms and distances in Å follow each position.
Sites, in units of the cell vectors:
La  0.3362  0.6259  0.1213  2 Rh 2.90-2.97, 2 Ir 2.93-2.94
Ir  0.5000  0.0000  0.0000  6 La 2.83-2.93
La  0.6638  0.8787  0.3741  2 Rh 2.90-2.97, 2 Ir 2.93-2.94
Ir  0.0000  0.2584  0.7416  6 La 2.85-2.94
La  0.8324  0.8852  0.8852  3 Ir 2.83-2.93, 1 Rh 3.01
La  0.1676  0.1148  0.1148  3 Ir 2.83-2.93, 1 Rh 3.01
Rh  0.4932  0.7497  0.7497  6 La 2.90-3.01
La  0.3362  0.1213  0.6259  2 Rh 2.90-2.97, 2 Ir 2.93-2.94
La  0.6638  0.3741  0.8787  2 Rh 2.90-2.97, 2 Ir 2.93-2.94
La  0.1673  0.6184  0.6184  2 Ir 2.85, 1 Rh 2.90
Ir  0.0000  0.7416  0.2584  6 La 2.85-2.94
La  0.8327  0.3816  0.3816  2 Ir 2.85, 1 Rh 2.90
Rh  0.5068  0.2503  0.2503  6 La 2.90-3.01

***

# 4
Entry from Alexandria via LeMat-Bulk: crystalline La2IrRh at its relaxed geometry (PBE-GGA).

* ρ: 10.2 g/cm3
* crystal system: tetragonal
* uncorrected energy: -7.14 eV per atom
* energy of formation: -0.628 eV/atom

a b c (Å): 3.5772 3.5772 7.2641
angles (deg): 90.00 90.00 90.00
Closest atoms and distances in Å follow each position.
Sites, in units of the cell vectors:
Ir  0.5000  0.5000  0.0000  8 La 3.09
La  0.0000  0.0000  0.2439  4 Ir 3.09, 4 Rh 3.14
Rh  0.5000  0.5000  0.5000  8 La 3.14
La  0.0000  0.0000  0.7561  4 Ir 3.09, 4 Rh 3.14

***

# 5
Entry from Alexandria via LeMat-Bulk: crystalline La8IrRuRh2 at its relaxed geometry (PBE-GGA).

* ρ: 6.8 g/cm3
* crystal system: monoclinic
* uncorrected energy: -6.53 eV per atom
* energy of formation: -0.510 eV/atom

a b c (Å): 6.8387 6.7388 8.5701
angles (deg): 90.00 90.00 90.37
Closest atoms and distances in Å follow each position.
Sites, in units of the cell vectors:
La  0.6704  0.7327  0.0000  1 Ru 2.88, 2 Rh 2.89
La  0.8314  0.2237  0.2468  1 Ru 2.85, 1 Ir 2.89, 1 Rh 2.94
La  0.6685  0.7282  0.5000  2 Rh 2.88, 1 Ir 2.91
Ir  0.0000  0.0000  0.5000  6 La 2.89-2.91
Rh  0.4999  0.5000  0.7503  6 La 2.88-2.94
La  0.8313  0.2236  0.7532  1 Ru 2.85, 1 Ir 2.89, 1 Rh 2.94
La  0.3315  0.2718  0.5000  2 Rh 2.88, 1 Ir 2.91
La  0.3296  0.2673  0.0000  1 Ru 2.88, 2 Rh 2.89
La  0.1687  0.7764  0.2468  1 Ru 2.85, 1 Ir 2.89, 1 Rh 2.94
La  0.1686  0.7763  0.7532  1 Ru 2.85, 1 Ir 2.89, 1 Rh 2.94
Ru  0.0000  0.0000  0.0000  6 La 2.85-2.88
Rh  0.5001  0.5000  0.2497  6 La 2.88-2.94

***

# 6
Entry from Alexandria via LeMat-Bulk: crystalline La6IrRuRh2 at its relaxed geometry (PBE-GGA).

* ρ: 7.5 g/cm3
* crystal system: triclinic
* uncorrected energy: -6.80 eV per atom
* energy of formation: -0.558 eV/atom

a b c (Å): 7.2020 7.2023 7.7699
angles (deg): 62.42 62.42 60.07
Closest atoms and distances in Å follow each position.
Sites, in units of the cell vectors:
La  0.2516  0.9216  0.2503  2 Rh 2.89-2.95, 1 Ir 2.91, 1 Ru 2.91
La  0.0803  0.4181  0.7530  1 Ru 2.87, 2 Rh 2.89-2.95, 1 Ir 2.93
Ru  0.3364  0.3364  0.9906  6 La 2.87-2.91, 1 Rh 3.16
La  0.4179  0.7487  0.7531  1 Ru 2.87, 2 Rh 2.89-2.95, 1 Ir 2.93
La  0.7483  0.0807  0.7529  1 Ru 2.87, 2 Rh 2.89-2.95, 1 Ir 2.93
Ir  0.8355  0.8355  0.4936  6 La 2.91-2.93, 1 Rh 3.16
La  0.9217  0.5765  0.2504  2 Rh 2.89-2.95, 1 Ir 2.91, 1 Ru 2.91
La  0.5770  0.2510  0.2503  2 Rh 2.89-2.95, 1 Ir 2.91, 1 Ru 2.91
Rh  0.9961  0.9962  0.0115  6 La 2.89-2.95, 1 Ir 3.16
Rh  0.4968  0.4969  0.5094  6 La 2.89-2.95, 1 Ru 3.16

***

# 7
Entry from Alexandria via LeMat-Bulk: crystalline La6Ir2RuRh at its relaxed geometry (PBE-GGA).

* ρ: 8.0 g/cm3
* crystal system: triclinic
* uncorrected energy: -6.95 eV per atom
* energy of formation: -0.560 eV/atom

a b c (Å): 7.2291 7.2300 7.7639
angles (deg): 62.28 62.28 60.05
Closest atoms and distances in Å follow each position.
Sites, in units of the cell vectors:
Rh  0.8350  0.8353  0.4945  6 La 2.92-2.96, 1 Ir 3.16
La  0.0835  0.4134  0.7542  1 Ru 2.86, 2 Ir 2.90-2.93, 1 Rh 2.96
La  0.9201  0.5776  0.2497  2 Ir 2.90-2.94, 1 Rh 2.92, 1 Ru 2.92
Ir  0.4979  0.4980  0.5063  6 La 2.90-2.94, 1 Ru 3.17
La  0.4134  0.7487  0.7543  1 Ru 2.86, 2 Ir 2.90-2.93, 1 Rh 2.96
La  0.7485  0.0839  0.7542  1 Ru 2.86, 2 Ir 2.90-2.93, 1 Rh 2.96
La  0.2527  0.9201  0.2499  2 Ir 2.90-2.94, 1 Ru 2.92, 1 Rh 2.92
Ru  0.3365  0.3360  0.9910  6 La 2.86-2.92, 1 Ir 3.17
La  0.5778  0.2523  0.2499  2 Ir 2.90-2.94, 1 Rh 2.92, 1 Ru 2.92
Ir  0.9963  0.9963  0.0111  6 La 2.90-2.93, 1 Rh 3.16

***

# 8
Entry from Alexandria via LeMat-Bulk: crystalline La4IrRhSe2 at its relaxed geometry (PBE-GGA).

* ρ: 7.5 g/cm3
* E_form (uncorrected): -10.69 eV/f.u.
* crystal system: monoclinic
* uncorrected energy: -6.70 eV per atom

a b c (Å): 4.1989 7.2602 7.7210
angles (deg): 108.29 90.00 90.00
Closest atoms and distances in Å follow each position.
Sites, in units of the cell vectors:
Se  0.0000  0.5000  0.5000  6 La 3.15
Rh  0.5000  0.5000  0.0000  6 La 2.94
Se  0.5000  0.0000  0.5000  6 La 3.14
Ir  0.0000  0.0000  0.0000  6 La 2.93
La  0.0000  0.2566  0.7737  1 Ir 2.93, 2 Rh 2.94, 3 Se 3.14-3.15
La  0.5000  0.7595  0.7739  2 Ir 2.93, 1 Rh 2.94, 3 Se 3.14-3.15
La  0.0000  0.7434  0.2263  1 Ir 2.93, 2 Rh 2.94, 3 Se 3.14-3.15
La  0.5000  0.2405  0.2261  2 Ir 2.93, 1 Rh 2.94, 3 Se 3.14-3.15

***

# 9
Entry from Alexandria via LeMat-Bulk: crystalline La2Si3IrRh12 at its relaxed geometry (PBE-GGA).

* ρ: 8.8 g/cm3
* E_form (uncorrected): -0.70 eV/f.u.
* crystal system: trigonal
* uncorrected energy: -6.88 eV per atom

a b c (Å): 7.8102 7.8102 7.8102
angles (deg): 60.15 60.15 60.15
Closest atoms and distances in Å follow each position.
Sites, in units of the cell vectors:
Rh  0.8714  0.3878  0.8714  1 Si 2.35, 1 Ir 2.48
Rh  0.3658  0.3658  0.8820  2 Si 2.34
La  0.6154  0.6154  0.6154  6 Rh 2.76-2.84
Si  0.0000  0.5000  0.0000  6 Rh 2.34-2.35
Rh  0.8820  0.3658  0.3658  2 Si 2.34
La  0.3846  0.3846  0.3846  6 Rh 2.76-2.84
Rh  0.3878  0.8714  0.8714  1 Si 2.35, 1 Ir 2.48
Rh  0.3658  0.8820  0.3658  2 Si 2.34
Si  0.5000  0.0000  0.0000  6 Rh 2.34-2.35
Rh  0.6342  0.1180  0.6342  2 Si 2.34
Rh  0.1180  0.6342  0.6342  2 Si 2.34
Rh  0.6342  0.6342  0.1180  2 Si 2.34
Rh  0.1286  0.1286  0.6122  1 Si 2.35, 1 Ir 2.48
Si  0.0000  0.0000  0.5000  6 Rh 2.34-2.35
Rh  0.1286  0.6122  0.1286  1 Si 2.35, 1 Ir 2.48
Rh  0.6122  0.1286  0.1286  1 Si 2.35, 1 Ir 2.48
Ir  0.0000  0.0000  0.0000  6 Rh 2.48
Rh  0.8714  0.8714  0.3878  1 Si 2.35, 1 Ir 2.48

***

# 10
Entry from Alexandria via LeMat-Bulk: crystalline LaSiIrRh at its relaxed geometry (PBE-GGA).

* ρ: 9.2 g/cm3
* E_form (uncorrected): -2.50 eV/f.u.
* crystal system: orthorhombic
* uncorrected energy: -7.27 eV per atom

a b c (Å): 4.0295 4.1578 5.7491
angles (deg): 111.20 110.51 90.00
Closest atoms and distances in Å follow each position.
Sites, in units of the cell vectors:
Si  0.2180  0.7180  0.4359  2 Ir 2.37, 2 Rh 2.38
Rh  0.3339  0.3339  0.6678  2 Si 2.38, 1 Ir 2.58
La  0.9702  0.9702  0.9404  4 Ir 3.14, 4 Rh 3.20, 4 Si 3.22
Ir  0.5933  0.5933  0.1865  2 Si 2.37, 1 Rh 2.58

***

# 11
Entry from Alexandria via LeMat-Bulk: crystalline La2Sn3IrRh4 at its relaxed geometry (PBE-GGA).

* ρ: 9.6 g/cm3
* crystal system: tetragonal
* uncorrected energy: -6.64 eV per atom
* energy of formation: -0.624 eV/atom

a b c (Å): 4.4426 4.4426 10.8473
angles (deg): 90.00 90.00 90.00
Closest atoms and distances in Å follow each position.
Sites, in units of the cell vectors:
Sn  0.5000  0.0000  0.8695  5 Rh 2.62-2.63
La  0.0000  0.5000  0.7444  8 Rh 3.38-3.55, 6 Sn 3.42-3.46, 2 Ir 3.46
La  0.5000  0.0000  0.2556  8 Rh 3.38-3.55, 6 Sn 3.42-3.46, 2 Ir 3.46
Sn  0.0000  0.5000  0.1305  5 Rh 2.62-2.63
Rh  0.5000  0.5000  0.0000  4 Sn 2.63
Sn  0.0000  0.0000  0.5000  4 Rh 2.62
Rh  0.5000  0.0000  0.6282  3 Sn 2.62, 2 Ir 2.62
Ir  0.5000  0.5000  0.5000  4 Rh 2.62
Rh  0.0000  0.5000  0.3718  3 Sn 2.62, 2 Ir 2.62
Rh  0.0000  0.0000  0.0000  4 Sn 2.63

***

# 12
Entry from Alexandria via LeMat-Bulk: crystalline La2Sn4Ir3Rh at its relaxed geometry (PBE-GGA).

* ρ: 10.7 g/cm3
* crystal system: tetragonal
* uncorrected energy: -6.63 eV per atom
* energy of formation: -0.654 eV/atom

a b c (Å): 4.5267 4.5267 10.8943
angles (deg): 90.00 90.00 90.00
Closest atoms and distances in Å follow each position.
Sites, in units of the cell vectors:
La  0.0000  0.5000  0.7510  6 Ir 3.44-3.55, 8 Sn 3.47-3.53, 2 Rh 3.55
Sn  0.0000  0.0000  0.0000  4 Ir 2.68
Rh  0.5000  0.5000  0.5000  4 Sn 2.66
Sn  0.5000  0.0000  0.6283  3 Ir 2.61-2.66, 2 Rh 2.66
Ir  0.0000  0.5000  0.1324  5 Sn 2.61-2.68
Ir  0.5000  0.0000  0.8676  5 Sn 2.61-2.68
Sn  0.0000  0.5000  0.3717  3 Ir 2.61-2.66, 2 Rh 2.66
La  0.5000  0.0000  0.2490  6 Ir 3.44-3.55, 8 Sn 3.47-3.53, 2 Rh 3.55
Ir  0.0000  0.0000  0.5000  4 Sn 2.66
Sn  0.5000  0.5000  0.0000  4 Ir 2.68

***

- Which of these has the highest uncorrected energy?
  La8IrRuRh2